Density functional theory data (GGA-PBE) for a geometry-optimized NaPaInHg structure. Values from VASP.

Structure (Quantum ESPRESSO input):
```
&SYSTEM
  ibrav = 0, nat = 4, ntyp = 4
/
ATOMIC_SPECIES
Na 22.99 Na.upf
Pa 231.04 Pa.upf
In 114.82 In.upf
Hg 200.59 Hg.upf
ATOMIC_POSITIONS crystal
Na 0.000 0.000 0.000
Pa 0.500 0.500 0.500
In 0.750 0.750 0.750
Hg 0.250 0.250 0.250
CELL_PARAMETERS angstrom
0.000 3.713 3.713
3.713 0.000 3.713
3.713 3.713 0.000
```

For the energy of formation, the calculation gives 0.122 eV per atom. The value obtained for the total energy is -3.342 eV per atom. The space group is F-43m (216).